(1)
Density functional theory data (PBE) for crystalline TbDy2NiPt2Pb3 at its relaxed geometry.

Unit cell a=3.793 b=7.824 c=7.824 alpha=120.07 beta=90.00 gamma=90.00
Fractional positions:
Ni  0.000  0.000  0.000
Pb  0.500  0.255  0.000
Pt  0.500  0.667  0.333
Tb  0.000  0.403  0.403
Dy  0.000  0.597  0.000
Dy  0.000  0.000  0.597
Pb  0.500  0.000  0.255
Pb  0.500  0.746  0.746
Pt  0.500  0.333  0.667

Output
DFT total energy	-5.49	eV per atom
magnetization	0.0001	μB/atom

(2)
Density functional theory data (PBE) for crystalline Sm2DyFe2B2N3 at its relaxed geometry.

Unit cell a=10.533 b=10.533 c=10.533 alpha=160.82 beta=160.82 gamma=27.25
Fractional positions:
Fe  0.750  0.250  0.500
Sm  0.377  0.377  0.000
N  0.115  0.115  0.000
Dy  0.000  0.000  0.000
N  0.500  0.500  0.000
N  0.885  0.885  0.000
Fe  0.250  0.750  0.500
B  0.188  0.188  0.000
B  0.812  0.812  0.000
Sm  0.623  0.623  0.000

Output
DFT total energy	-7.99	eV per atom
magnetization	0.2482	μB/atom

(3)
Density functional theory data (PBE) for crystalline SbAuS2 at its relaxed geometry.

Unit cell a=6.424 b=3.912 c=15.442 alpha=90.00 beta=90.00 gamma=90.00
Fractional positions:
Sb  0.258  0.750  0.567
Au  0.671  0.750  0.155
Au  0.829  0.250  0.655
S  0.855  0.250  0.080
S  0.200  0.250  0.679
S  0.145  0.750  0.920
Sb  0.742  0.250  0.433
Au  0.171  0.750  0.345
Au  0.329  0.250  0.845
S  0.700  0.250  0.821
S  0.355  0.250  0.420
Sb  0.758  0.750  0.933
Sb  0.242  0.250  0.067
S  0.800  0.750  0.321
S  0.645  0.750  0.580
S  0.300  0.750  0.179

Output
DFT total energy	-3.97	eV per atom

(4)
Density functional theory data (PBE) for crystalline RbAgTeOsSe2 at its relaxed geometry.

Unit cell a=8.410 b=8.410 c=10.339 alpha=90.00 beta=90.00 gamma=153.32
Fractional positions:
Se  0.601  0.399  0.018
Se  0.601  0.399  0.482
Ag  0.553  0.447  0.250
Se  0.399  0.601  0.982
Os  0.000  0.000  0.000
Te  0.929  0.071  0.250
Os  0.000  0.000  0.500
Ag  0.447  0.553  0.750
Rb  0.766  0.234  0.750
Te  0.071  0.929  0.750
Rb  0.234  0.766  0.250
Se  0.399  0.601  0.518

Output
DFT total energy	-4.33	eV per atom
magnetization	0.0024	μB/atom

(5)
Density functional theory data (PBE) for crystalline Gd3NiSn3Pd2 at its relaxed geometry.

Unit cell a=7.534 b=7.534 c=3.969 alpha=90.00 beta=90.00 gamma=120.00
Fractional positions:
Pd  0.333  0.667  0.500
Sn  0.247  0.247  0.500
Gd  0.000  0.406  0.000
Pd  0.667  0.333  0.500
Gd  0.406  0.000  0.000
Ni  0.000  0.000  0.000
Gd  0.594  0.594  0.000
Sn  0.000  0.753  0.500
Sn  0.753  0.000  0.500

Output
DFT total energy	-5.53	eV per atom
magnetization	0.0001	μB/atom

(6)
Density functional theory data (PBE) for crystalline GdTmCl2O2 at its relaxed geometry.

Unit cell a=3.865 b=3.865 c=6.768 alpha=90.00 beta=90.00 gamma=90.00
Fractional positions:
Cl  0.500  0.500  0.631
Tm  0.000  0.000  0.838
O  0.500  0.000  0.996
Cl  0.000  0.000  0.367
Gd  0.500  0.500  0.172
O  0.000  0.500  0.996

Output
DFT total energy	-6.86	eV per atom
magnetization	0.0001	μB/atom

(7)
Density functional theory data (PBE) for crystalline Y3Si2Ag4Ge2 at its relaxed geometry.

Unit cell a=8.323 b=8.323 c=8.323 alpha=150.05 beta=129.63 gamma=59.72
Fractional positions:
Y  0.126  0.626  0.500
Ag  0.476  0.173  0.303
Y  0.874  0.374  0.500
Ag  0.870  0.173  0.697
Ge  0.815  0.000  0.815
Ag  0.130  0.827  0.303
Si  0.716  0.716  0.000
Ge  0.185  0.000  0.185
Y  0.500  0.500  0.000
Ag  0.524  0.827  0.697
Si  0.284  0.284  0.000

Output
DFT total energy	-5.14	eV per atom
magnetization	0.0026	μB/atom

(8)
Density functional theory data (PBE) for crystalline Ni17Hg at its relaxed geometry.

Unit cell a=4.963 b=4.963 c=31.108 alpha=90.00 beta=90.00 gamma=120.00
Fractional positions:
Ni  0.000  0.000  0.435
Ni  0.667  0.333  0.306
Ni  0.500  0.500  0.436
Ni  0.833  0.167  0.757
Ni  0.333  0.167  0.757
Ni  0.669  0.834  0.306
Hg  0.000  0.000  0.213
Ni  0.500  0.000  0.629
Ni  0.168  0.335  0.694
Ni  0.333  0.667  0.371
Ni  0.000  0.000  0.629
Ni  0.333  0.667  0.565
Ni  0.168  0.832  0.694
Ni  0.500  0.000  0.436
Ni  0.500  0.500  0.629
Ni  0.500  0.000  0.243
Ni  0.833  0.667  0.371
Ni  0.833  0.167  0.564
Ni  0.833  0.667  0.757
Ni  0.000  0.500  0.243
Ni  0.667  0.333  0.694
Ni  0.166  0.834  0.306
Ni  0.000  0.500  0.629
Ni  0.166  0.331  0.306
Ni  0.833  0.667  0.564
Ni  0.667  0.333  0.500
Ni  0.833  0.167  0.371
Ni  0.167  0.333  0.500
Ni  0.667  0.833  0.500
Ni  0.665  0.832  0.694
Ni  0.333  0.167  0.564
Ni  0.333  0.167  0.371
Ni  0.000  0.500  0.436
Ni  0.167  0.833  0.500
Ni  0.500  0.500  0.243
Hg  0.333  0.667  0.787

Output
DFT total energy	-5.15	eV per atom
polymorph energy (0 for the lowest one)	7.7	meV/atom
DFT formation energy	0.1270	eV/atom
magnetization	0.3345	μB/atom